No. 1
First-principles (PBE) data for crystalline CrIr2 at its relaxed geometry, as listed in Alexandria.

```
CrIr2
1.0
2.696 0.000 0.000
-1.348 2.335 0.000
0.000 0.000 6.544
Cr Ir
1 2
Direct
0.000 0.000 0.000 Cr
0.667 0.333 0.685 Ir
0.333 0.667 0.315 Ir
```

Computed properties:
**Symmetry**: No. 164
**Formation energy**: -0.127 eV per atom
**ρ**: 17.59 g cm⁻³
**Uncorrected energy**: -0.340 Ha/atom



No. 2
First-principles (PBE) data for crystalline VCr2Cl at its relaxed geometry, as listed in Alexandria.

```
VCr2Cl
1.0
0.000 2.934 2.934
2.934 0.000 2.934
2.934 2.934 0.000
V Cr Cl
1 2 1
Direct
0.500 0.500 0.500 V
0.750 0.750 0.750 Cr
0.250 0.250 0.250 Cr
0.000 0.000 0.000 Cl
```

Computed properties:
**Symmetry**: No. 225
**ρ**: 6.26 g cm⁻³
**Uncorrected energy**: -0.244 Ha/atom
**ΔE_f (raw)**: 918 meV/atom
**Distance to the lowest polymorph of the same formula**: 0.1079 eV per atom



No. 3
First-principles (PBE) data for crystalline HfNbTl2V at its relaxed geometry, as listed in Alexandria.

```
HfNbTl2V
1.0
-2.979 3.561 -2.252
-3.694 -2.748 0.541
-0.920 2.142 4.604
Nb Tl V Hf
1 2 1 1
Direct
0.500 0.500 0.500 Nb
0.000 0.000 0.500 Tl
0.500 0.000 0.000 Tl
0.000 0.000 0.000 V
0.000 0.500 0.000 Hf
```

Computed properties:
**Symmetry**: No. 123
**Formation energy**: 1.194 eV per atom
**ρ**: 9.84 g cm⁻³
**Uncorrected energy**: -0.205 Ha/atom



No. 4
First-principles (PBE) data for crystalline Fe2RhSe at its relaxed geometry, as listed in Alexandria.

```
Fe2RhSe
1.0
-1.197 4.021 1.083
-2.593 2.036 2.812
3.088 0.844 3.461
Fe Se Rh
2 1 1
Direct
0.746 0.746 0.774 Fe
0.007 0.007 0.993 Fe
0.253 0.253 0.225 Se
0.493 0.493 0.508 Rh
```

Computed properties:
**Symmetry**: No. 8
**ρ**: 8.67 g cm⁻³
**Uncorrected energy**: -0.250 Ha/atom
**ΔE_f (raw)**: 138 meV/atom



No. 5
First-principles (PBE) data for crystalline KSrBi at its relaxed geometry, as listed in Alexandria.

```
KSrBi
1.0
-7.744 4.129 2.739
-2.999 -4.098 -2.301
0.338 -5.100 8.642
Bi K Sr
4 4 4
Direct
0.720 0.750 0.605 Bi
0.220 0.750 0.895 Bi
0.280 0.250 0.395 Bi
0.780 0.250 0.105 Bi
0.517 0.250 0.826 K
0.483 0.750 0.174 K
0.017 0.250 0.674 K
0.983 0.750 0.326 K
0.849 0.750 0.921 Sr
0.349 0.750 0.579 Sr
0.651 0.250 0.421 Sr
0.151 0.250 0.079 Sr
```

Computed properties:
**Symmetry**: No. 62
**Formation energy**: -0.699 eV per atom
**ρ**: 4.33 g cm⁻³
**Uncorrected energy**: -0.107 Ha/atom



No. 6
First-principles (PBE) data for crystalline CaLaGa at its relaxed geometry, as listed in Alexandria.

```
CaLaGa
1.0
-2.432 -2.883 -0.573
2.642 -5.577 4.140
-4.441 0.073 5.775
Ga La Ca
2 2 2
Direct
0.303 0.990 0.818 Ga
0.524 0.637 0.730 Ga
0.006 0.936 0.466 La
0.250 0.383 0.532 La
0.825 0.691 0.073 Ca
0.580 0.237 0.017 Ca
```

Computed properties:
**Symmetry**: No. 8
**Formation energy**: -0.307 eV per atom
**ρ**: 4.34 g cm⁻³
**Uncorrected energy**: -0.133 Ha/atom
**Distance to the lowest polymorph of the same formula**: 0.1366 eV per atom



No. 7
First-principles (PBE) data for crystalline AcPb3Se4 at its relaxed geometry, as listed in Alexandria.

```
AcPb3Se4
1.0
6.295 0.000 0.000
0.000 6.295 0.000
0.000 0.000 6.295
Se Ac Pb
4 1 3
Direct
0.500 0.500 0.500 Se
0.500 0.000 0.000 Se
0.000 0.000 0.500 Se
0.000 0.500 0.000 Se
0.000 0.000 0.000 Ac
0.500 0.500 0.000 Pb
0.000 0.500 0.500 Pb
0.500 0.000 0.500 Pb
```

Computed properties:
**Symmetry**: No. 221
**ρ**: 7.75 g cm⁻³
**Uncorrected energy**: -0.167 Ha/atom
**ΔE_f (raw)**: -895 meV/atom



No. 8
First-principles (PBE) data for crystalline Ni3PdN at its relaxed geometry, as listed in Alexandria.

```
Ni3PdN
1.0
-0.370 2.919 6.137
-4.298 0.562 -5.247
-2.323 -3.506 1.527
N Ni Pd
2 6 2
Direct
0.650 0.350 0.750 N
0.350 0.650 0.250 N
0.648 0.924 0.250 Ni
0.076 0.352 0.250 Ni
0.924 0.648 0.750 Ni
0.000 0.000 0.000 Ni
0.352 0.076 0.750 Ni
0.000 0.000 0.500 Ni
0.190 0.810 0.250 Pd
0.810 0.190 0.750 Pd
```

Computed properties:
**Symmetry**: No. 63
**ρ**: 6.09 g cm⁻³
**Uncorrected energy**: -0.206 Ha/atom
**ΔE_f (raw)**: 578 meV/atom



No. 9
First-principles (PBE) data for crystalline TaPb3 at its relaxed geometry, as listed in Alexandria.

```
TaPb3
1.0
5.767 -0.003 0.000
-1.654 5.525 0.000
0.000 0.000 3.246
Pb Ta
3 1
Direct
0.500 0.000 0.500 Pb
0.000 0.500 0.500 Pb
0.500 0.500 0.000 Pb
0.000 0.000 0.000 Ta
```

Computed properties:
**Symmetry**: No. 65
**Formation energy**: 0.646 eV per atom
**ρ**: 12.89 g cm⁻³
**Uncorrected energy**: -0.187 Ha/atom



No. 10
First-principles (PBE) data for crystalline YThMg14 at its relaxed geometry, as listed in Alexandria.

```
YThMg14
1.0
6.890 -0.014 0.000
0.015 6.890 0.000
0.000 0.000 8.205
Mg Y Th
14 1 1
Direct
0.375 0.875 0.000 Mg
0.123 0.627 0.763 Mg
0.627 0.123 0.763 Mg
0.123 0.627 0.237 Mg
0.875 0.875 0.000 Mg
0.124 0.124 0.763 Mg
0.626 0.626 0.763 Mg
0.375 0.375 0.000 Mg
0.375 0.875 0.500 Mg
0.626 0.626 0.237 Mg
0.875 0.375 0.000 Mg
0.627 0.123 0.237 Mg
0.124 0.124 0.237 Mg
0.875 0.375 0.500 Mg
0.875 0.875 0.500 Y
0.375 0.375 0.500 Th
```

Computed properties:
**Symmetry**: No. 123
**Formation energy**: 0.002 eV per atom
**ρ**: 2.82 g cm⁻³
**Uncorrected energy**: -0.083 Ha/atom



No. 11
First-principles (PBE) data for crystalline PSeBr2 at its relaxed geometry, as listed in Alexandria.

```
PSeBr2
1.0
9.470 -1.782 0.005
9.470 1.782 0.005
9.133 0.000 3.073
P Se Br
1 1 2
Direct
0.509 0.509 0.509 P
0.226 0.226 0.226 Se
0.779 0.779 0.779 Br
0.986 0.986 0.986 Br
```

Computed properties:
**Symmetry**: No. 160
**ρ**: 4.33 g cm⁻³
**Uncorrected energy**: -0.109 Ha/atom
**ΔE_f (raw)**: 95 meV/atom
**Distance to the lowest polymorph of the same formula**: 0.1532 eV per atom



No. 12
First-principles (PBE) data for crystalline Pm2Er6Tm3Sc at its relaxed geometry, as listed in Alexandria.

```
Pm2Er6Tm3Sc
1.0
-5.418 -2.718 0.179
5.063 -3.303 0.476
-0.135 3.255 11.169
Er Pm Tm Sc
6 2 3 1
Direct
0.084 0.414 0.251 Er
0.414 0.084 0.251 Er
0.586 0.916 0.749 Er
0.753 0.753 0.252 Er
0.916 0.586 0.749 Er
0.247 0.247 0.748 Er
0.667 0.333 0.000 Pm
0.333 0.667 0.000 Pm
0.166 0.834 0.500 Tm
0.500 0.500 0.500 Tm
0.834 0.166 0.500 Tm
0.000 0.000 0.000 Sc
```

Computed properties:
**Symmetry**: No. 12
**Formation energy**: 0.029 eV per atom
**ρ**: 8.39 g cm⁻³
**Uncorrected energy**: -0.172 Ha/atom



No. 13
First-principles (PBE) data for crystalline Hg5Ru at its relaxed geometry, as listed in Alexandria.

```
Hg5Ru
1.0
-0.833 -4.434 3.402
2.180 -3.753 3.617
-1.401 3.944 7.127
Hg Ru
5 1
Direct
0.581 0.581 0.234 Hg
0.964 0.964 0.960 Hg
0.730 0.730 0.720 Hg
0.307 0.307 0.344 Hg
0.014 0.014 0.573 Hg
0.237 0.237 0.003 Ru
```

Computed properties:
**Symmetry**: No. 8
**Formation energy**: 0.341 eV per atom
**ρ**: 13.39 g cm⁻³
**Uncorrected energy**: -0.054 Ha/atom
**Distance to the lowest polymorph of the same formula**: 0.0000 eV per atom



No. 14
First-principles (PBE) data for crystalline DyGaHg at its relaxed geometry, as listed in Alexandria.

```
DyGaHg
1.0
-1.558 2.689 -3.294
-5.985 0.014 -0.271
-1.530 5.317 1.950
Hg Dy Ga
2 2 2
Direct
0.172 0.898 0.758 Hg
0.828 0.102 0.242 Hg
0.543 0.707 0.207 Dy
0.457 0.293 0.793 Dy
0.155 0.338 0.353 Ga
0.845 0.662 0.647 Ga
```

Computed properties:
**Symmetry**: No. 12
**Formation energy**: -0.501 eV per atom
**ρ**: 10.65 g cm⁻³
**Uncorrected energy**: -0.116 Ha/atom
**Distance to the lowest polymorph of the same formula**: 0.0000 eV per atom